No. 1
The following is a DFT calculation (PBE-GGA) of a relaxed CrOsSe2N crystal.

Geometry as POSCAR:
```
CrOsSe2N
1.0
-3.081 -3.998 0.731
3.531 -3.087 -2.002
1.445 -0.505 3.328
Cr Os Se N
1 1 2 1
direct
0.500 0.500 0.500
0.000 0.000 0.000
0.000 0.500 0.000
0.500 0.000 0.000
0.000 0.000 0.500
```

Output
calculated density	7.22	g/cm3
formation energy (no corrections)	506	meV per atom
energy	-6.7236	eV per atom
total magnetization	3.7	μB/f.u.
energy relative to the lowest polymorph listed for this composition	0.0	kJ/mol of atoms

***

No. 2
The following is a DFT calculation (PBE-GGA) of a relaxed Si2GeSe crystal.

Geometry as POSCAR:
```
Si2GeSe
1.0
0.632 -2.797 3.641
-2.874 0.235 3.628
-2.985 -3.449 0.818
Ge Si Se
1 2 1
direct
0.000 0.000 0.000
0.250 0.250 0.250
0.750 0.750 0.750
0.500 0.500 0.500
```

Output
calculated density	4.90	g/cm3
formation energy (no corrections)	549	meV per atom
energy	-4.1882	eV per atom
total magnetization	0.0	μB/f.u.
energy relative to the lowest polymorph listed for this composition	19.5	kJ/mol of atoms

***

No. 3
The following is a DFT calculation (PBE-GGA) of a relaxed TiCrHRh2 crystal.

Geometry as POSCAR:
```
TiCrHRh2
1.0
-0.120 3.709 1.259
-0.120 -1.262 3.708
3.874 0.074 0.151
Cr Rh H Ti
1 2 1 1
direct
0.500 0.500 0.500
0.000 0.500 0.000
0.500 0.000 0.000
0.000 0.000 0.000
0.000 0.000 0.500
```

Output
calculated density	8.55	g/cm3
energy	-7.4257	eV per atom
total magnetization	2.6	μB/f.u.
energy relative to the lowest polymorph listed for this composition	0.0	kJ/mol of atoms